Density functional theory data (PBE) for a geometry-optimized Na3Ag5Br8 structure.

calculated total energy	-43.9	eV per formula unit
formation energy without anion corrections	-0.768	eV per atom

Unit cell a=8.3105 b=8.3105 c=8.3105 alpha=60.64 beta=60.64 gamma=60.64
Last column: nearest neighbours and their distance in Å.
Fractional coordinates of all 16 atoms:
Na  0.0000  0.5000  0.5000  6 Br 2.98-2.99
Na  0.5000  0.0000  0.5000  6 Br 2.98-2.99
Na  0.5000  0.5000  0.0000  6 Br 2.98-2.99
Ag  0.0000  0.0000  0.0000  6 Br 2.95
Ag  0.0000  0.0000  0.5000  6 Br 2.91-2.93
Ag  0.0000  0.5000  0.0000  6 Br 2.91-2.93
Ag  0.5000  0.0000  0.0000  6 Br 2.91-2.93
Ag  0.5000  0.5000  0.5000  6 Br 2.95
Br  0.2433  0.7499  0.7499  4 Ag 2.91-2.95, 2 Na 2.99
Br  0.2479  0.2479  0.2479  3 Ag 2.93, 3 Na 2.98
Br  0.2501  0.2501  0.7567  4 Ag 2.91-2.95, 2 Na 2.99
Br  0.2501  0.7567  0.2501  4 Ag 2.91-2.95, 2 Na 2.99
Br  0.7499  0.2433  0.7499  4 Ag 2.91-2.95, 2 Na 2.99
Br  0.7499  0.7499  0.2433  4 Ag 2.91-2.95, 2 Na 2.99
Br  0.7521  0.7521  0.7521  3 Ag 2.93, 3 Na 2.98
Br  0.7567  0.2501  0.2501  4 Ag 2.91-2.95, 2 Na 2.99